First-principles (PBE) data for a geometry-optimized MnCS2Cl structure, as listed in the Alexandria database.

Lattice parameters (Å, degrees): 4.0815 4.0815 4.3605 90.00 90.00 90.00
Space group P4/mmm (No. 123)
Asymmetric unit:
1 Mn 0.0000 0.0000 0.0000
2 C 0.5000 0.5000 0.5000
3 S 0.0000 0.5000 0.5000
4 Cl 0.5000 0.5000 0.0000

## Properties
Calculated volume in A^3/atom: 14.5
ΔE_f (raw) in eV/atom: 1.53
VASP energy in eV/atom: -4.1724